Here is an optimized crystal structure of Mn3ZnO10 from the Alexandria database. Energies are from PBE+U.

a = 9.399 Å, b = 9.399 Å, c = 9.399 Å
α = 48.75°, β = 48.75°, γ = 48.75°
Positions (direct):
1 Mn 0.072 0.643 0.786
2 Mn 0.214 0.928 0.357
3 Mn 0.357 0.214 0.928
4 Mn 0.643 0.786 0.072
5 Mn 0.786 0.072 0.643
6 Mn 0.928 0.357 0.214
7 Zn 0.441 0.441 0.441
8 Zn 0.559 0.559 0.559
9 O 0.065 0.917 0.635
10 O 0.076 0.422 0.516
11 O 0.083 0.365 0.935
12 O 0.194 0.666 0.510
13 O 0.205 0.205 0.205
14 O 0.334 0.490 0.806
15 O 0.365 0.935 0.083
16 O 0.422 0.516 0.076
17 O 0.484 0.924 0.578
18 O 0.490 0.806 0.334
19 O 0.510 0.194 0.666
20 O 0.516 0.076 0.422
21 O 0.578 0.484 0.924
22 O 0.635 0.065 0.917
23 O 0.666 0.510 0.194
24 O 0.795 0.795 0.795
25 O 0.806 0.334 0.490
26 O 0.917 0.635 0.065
27 O 0.924 0.578 0.484
28 O 0.935 0.083 0.365

Properties
calculated volume: 215.4 Å³/f.u.
relative energy among the computed polymorphs: 0.0 meV/atom